A plane-wave DFT calculation with PBE was carried out for a geometry-optimized K2YTeAs structure.

a b c (Å): 5.9921 5.9921 5.7697
angles (deg): 90.00 90.00 90.00
Last column: nearest neighbours and their distance in Å.
Positions (direct):
1 K 0.0000 0.5000 0.0000  2 As 3.00
2 K 0.5000 0.0000 0.0000  2 As 3.00
3 Y 0.0000 0.0000 0.5000  8 K 4.16, 4 Te 4.24
4 Te 0.5000 0.5000 0.5000  2 As 2.88
5 As 0.5000 0.5000 0.0000  2 Te 2.88, 4 K 3.00

E_form (uncorrected): 312 meV/atom
space group: No. 123

A plane-wave DFT calculation with PBE was carried out for a geometry-optimized KZnTe3As structure.

a b c (Å): 9.5851 4.2885 10.3334
angles (deg): 90.00 108.27 90.00
Last column: nearest neighbours and their distance in Å.
Positions (direct):
1 K 0.2002 0.2500 0.2473  7 Te 3.66-3.69, 2 Zn 4.07
2 K 0.7998 0.7500 0.7527  7 Te 3.66-3.69, 2 Zn 4.07
3 Zn 0.0818 0.2500 0.6095  4 Te 2.67-2.76
4 Zn 0.9182 0.7500 0.3905  4 Te 2.67-2.76
5 Te 0.1285 0.2500 0.8778  1 Zn 2.67, 2 As 2.92
6 Te 0.2136 0.7500 0.5377  3 Zn 2.71-2.76
7 Te 0.4610 0.7500 0.1490  3 As 2.69-2.97
8 Te 0.5390 0.2500 0.8510  3 As 2.69-2.97
9 Te 0.7864 0.2500 0.4623  3 Zn 2.71-2.76
10 Te 0.8715 0.7500 0.1222  1 Zn 2.67, 2 As 2.92
11 As 0.3354 0.7500 0.8773  5 Te 2.69-2.97
12 As 0.6646 0.2500 0.1227  5 Te 2.69-2.97

E_form (uncorrected): -446 meV/atom
space group: No. 11

A plane-wave DFT calculation with PBE was carried out for a geometry-optimized K2ZrTeAs structure.

a b c (Å): 6.9586 6.9586 5.0163
angles (deg): 90.00 90.00 90.00
Last column: nearest neighbours and their distance in Å.
Positions (direct):
1 K 0.0000 0.5000 0.0000  2 Zr 3.48
2 K 0.5000 0.0000 0.0000  2 Zr 3.48
3 Zr 0.0000 0.0000 0.0000  2 As 2.51
4 Te 0.5000 0.5000 0.5000  8 K 4.29
5 As 0.0000 0.0000 0.5000  2 Zr 2.51

E_form (uncorrected): 337 meV/atom
space group: No. 123

A plane-wave DFT calculation with PBE was carried out for a geometry-optimized K3Th2UAs6 structure.

a b c (Å): 7.5389 7.5389 8.0743
angles (deg): 98.98 98.98 120.00
Last column: nearest neighbours and their distance in Å.
Positions (direct):
1 K 0.0000 0.0000 0.0000  6 As 3.40-3.57
2 K 0.3297 0.6703 0.0000  6 As 3.41-3.53
3 K 0.6703 0.3297 0.0000  6 As 3.41-3.53
4 Th 0.1665 0.8335 0.5000  6 As 2.98
5 Th 0.8335 0.1665 0.5000  6 As 2.98
6 U 0.5000 0.5000 0.5000  6 As 2.78
7 As 0.1225 0.4363 0.3089  1 U 2.78, 2 Th 2.98
8 As 0.2505 0.2505 0.6914  1 U 2.78, 2 Th 2.98
9 As 0.4363 0.1225 0.3089  1 U 2.78, 2 Th 2.98
10 As 0.5637 0.8775 0.6911  1 U 2.78, 2 Th 2.98
11 As 0.7495 0.7495 0.3086  1 U 2.78, 2 Th 2.98
12 As 0.8775 0.5637 0.6911  1 U 2.78, 2 Th 2.98

energy of formation from the pure elements: -774 meV/atom
space group: No. 12

A plane-wave DFT calculation with PBE was carried out for a geometry-optimized KTi2As2 structure.

a b c (Å): 7.4915 7.4915 7.4915
angles (deg): 146.77 146.77 47.70
Last column: nearest neighbours and their distance in Å.
Positions (direct):
1 K 0.0000 0.0000 0.0000  8 As 3.66, 8 Ti 4.04
2 Ti 0.2500 0.7500 0.5000  4 As 2.55
3 Ti 0.7500 0.2500 0.5000  4 As 2.55
4 As 0.3505 0.3505 0.0000  4 Ti 2.55
5 As 0.6495 0.6495 0.0000  4 Ti 2.55

energy of formation from the pure elements: -678 meV/atom
space group: No. 139
energy relative to the lowest polymorph listed for this composition: 0.00 eV per formula unit

A plane-wave DFT calculation with PBE was carried out for a geometry-optimized KTiAs structure.

a b c (Å): 4.2466 4.2466 10.6731
angles (deg): 90.00 90.00 90.00
Last column: nearest neighbours and their distance in Å.
Positions (direct):
1 K 0.2500 0.2500 0.1959  4 As 3.50, 4 Ti 3.88
2 K 0.7500 0.7500 0.8041  4 As 3.50, 4 Ti 3.88
3 Ti 0.2500 0.7500 0.5000  4 As 2.57
4 Ti 0.7500 0.2500 0.5000  4 As 2.57
5 As 0.2500 0.2500 0.6357  4 Ti 2.57
6 As 0.7500 0.7500 0.3643  4 Ti 2.57

energy of formation from the pure elements: -582 meV/atom
space group: No. 129

A plane-wave DFT calculation with PBE was carried out for a geometry-optimized K4Ti2As structure.

a b c (Å): 9.6094 9.6094 9.6094
angles (deg): 139.31 139.31 58.91
Last column: nearest neighbours and their distance in Å.
Positions (direct):
1 K 0.0000 0.5000 0.5000  2 As 3.34, 4 Ti 3.56
2 K 0.1885 0.1885 0.0000  1 As 3.15
3 K 0.5000 0.0000 0.5000  2 As 3.34, 4 Ti 3.56
4 K 0.8115 0.8115 0.0000  1 As 3.15
5 Ti 0.4261 0.4261 0.0000  1 Ti 2.47
6 Ti 0.5739 0.5739 0.0000  1 Ti 2.47
7 As 0.0000 0.0000 0.0000  6 K 3.15-3.34

energy of formation from the pure elements: 839 meV/atom
space group: No. 139

A plane-wave DFT calculation with PBE was carried out for a geometry-optimized K3TiAs2 structure.

a b c (Å): 9.0666 9.0666 9.0666
angles (deg): 128.32 69.14 137.40
Last column: nearest neighbours and their distance in Å.
Positions (direct):
1 K 0.1861 0.7022 0.8883  4 As 3.33-3.58, 2 Ti 3.60
2 K 0.2500 0.2500 0.0000  2 K 3.29, 4 As 3.32
3 K 0.3139 0.2022 0.5161  4 As 3.33-3.58, 2 Ti 3.60
4 K 0.6861 0.7978 0.4839  4 As 3.33-3.58, 2 Ti 3.60
5 K 0.7500 0.7500 0.0000  2 K 3.29, 4 As 3.32
6 K 0.8139 0.2978 0.1117  4 As 3.33-3.58, 2 Ti 3.60
7 Ti 0.2500 0.7500 0.5000  4 As 2.58
8 Ti 0.7500 0.2500 0.5000  4 As 2.58
9 As 0.0929 0.3191 0.4120  2 Ti 2.58
10 As 0.4071 0.8191 0.2262  2 Ti 2.58
11 As 0.5929 0.1809 0.7738  2 Ti 2.58
12 As 0.9071 0.6809 0.5880  2 Ti 2.58

energy of formation from the pure elements: -544 meV/atom
space group: No. 72

A plane-wave DFT calculation with PBE was carried out for a geometry-optimized KTi3As structure.

a b c (Å): 4.9384 4.9384 4.9384
angles (deg): 90.00 90.00 90.00
Last column: nearest neighbours and their distance in Å.
Positions (direct):
1 K 0.0000 0.0000 0.0000  12 Ti 3.49
2 Ti 0.0000 0.5000 0.5000  2 As 2.47
3 Ti 0.5000 0.0000 0.5000  2 As 2.47
4 Ti 0.5000 0.5000 0.0000  2 As 2.47
5 As 0.5000 0.5000 0.5000  6 Ti 2.47

energy of formation from the pure elements: 552 meV/atom
space group: No. 221
energy relative to the lowest polymorph listed for this composition: 0.00 eV per formula unit

A plane-wave DFT calculation with PBE was carried out for a geometry-optimized KTi2As structure.

a b c (Å): 9.9509 9.9509 9.9509
angles (deg): 152.03 152.03 39.97
Last column: nearest neighbours and their distance in Å.
Positions (direct):
1 K 0.0000 0.0000 0.0000  4 As 3.40, 8 Ti 3.52-3.61
2 K 0.7500 0.2500 0.5000  4 As 3.40, 8 Ti 3.52-3.61
3 Ti 0.3613 0.6250 0.2363  2 Ti 2.41, 2 As 2.63
4 Ti 0.3750 0.6113 0.7363  2 Ti 2.41, 2 As 2.63
5 Ti 0.3887 0.1250 0.7637  2 Ti 2.41, 2 As 2.63
6 Ti 0.8750 0.6387 0.2637  2 Ti 2.41, 2 As 2.63
7 As 0.2500 0.7500 0.5000  4 Ti 2.63
8 As 0.5000 0.5000 0.0000  4 Ti 2.63

energy of formation from the pure elements: 395 meV/atom
space group: No. 122

A plane-wave DFT calculation with PBE was carried out for a geometry-optimized K2TiAs structure.

a b c (Å): 9.2480 9.2480 9.2480
angles (deg): 94.13 94.13 148.88
Last column: nearest neighbours and their distance in Å.
Positions (direct):
1 K 0.3750 0.2001 0.3251  2 As 3.35
2 K 0.7999 0.1250 0.1749  2 As 3.35
3 K 0.8750 0.0499 0.6749  2 As 3.35
4 K 0.9501 0.6250 0.8251  2 As 3.35
5 Ti 0.2500 0.7500 0.5000  2 As 2.48
6 Ti 0.5000 0.5000 0.0000  2 As 2.48
7 As 0.0000 0.0000 0.0000  2 Ti 2.48
8 As 0.7500 0.2500 0.5000  2 Ti 2.48

energy of formation from the pure elements: 123 meV/atom
space group: No. 122

A plane-wave DFT calculation with PBE was carried out for a geometry-optimized KTi3As structure.

a b c (Å): 4.4861 4.4861 4.4861
angles (deg): 90.00 90.00 90.00
Last column: nearest neighbours and their distance in Å.
Positions (direct):
1 K 0.0000 0.0000 0.0000  6 Ti 2.24
2 Ti 0.0000 0.0000 0.5000  2 K 2.24
3 Ti 0.0000 0.5000 0.0000  2 K 2.24
4 Ti 0.5000 0.0000 0.0000  2 K 2.24
5 As 0.5000 0.5000 0.5000  12 Ti 3.17

energy of formation from the pure elements: 1879 meV/atom
space group: No. 221
energy relative to the lowest polymorph listed for this composition: 6.63 eV per formula unit

A plane-wave DFT calculation with PBE was carried out for a geometry-optimized K2TlAs structure.

a b c (Å): 3.4038 4.9851 7.5781
angles (deg): 90.00 90.29 90.00
Last column: nearest neighbours and their distance in Å.
Positions (direct):
1 K 0.0020 0.0000 0.2148  3 K 3.26-3.40, 4 As 3.43
2 K 0.9980 0.0000 0.7852  3 K 3.26-3.40, 4 As 3.43
3 Tl 0.5000 0.5000 0.5000  2 Tl 3.40, 8 K 3.70-3.72, 2 As 3.79
4 As 0.5000 0.5000 0.0000  2 As 3.40, 8 K 3.43, 2 Tl 3.79

energy of formation from the pure elements: -77 meV/atom
space group: No. 10
energy relative to the lowest polymorph listed for this composition: 1.01 eV per formula unit

A plane-wave DFT calculation with PBE was carried out for a geometry-optimized KTl2As structure.

a b c (Å): 3.9091 3.9091 7.9285
angles (deg): 90.00 90.00 90.00
Last column: nearest neighbours and their distance in Å.
Positions (direct):
1 K 0.0000 0.0000 0.0000  8 Tl 3.66, 4 K 3.91, 2 As 3.96
2 Tl 0.5000 0.5000 0.3020  1 Tl 3.14, 4 As 3.18
3 Tl 0.5000 0.5000 0.6980  1 Tl 3.14, 4 As 3.18
4 As 0.0000 0.0000 0.5000  8 Tl 3.18

energy of formation from the pure elements: -98 meV/atom
space group: No. 123
energy relative to the lowest polymorph listed for this composition: 0.28 eV per formula unit

A plane-wave DFT calculation with PBE was carried out for a geometry-optimized K2TlAs2 structure.

a b c (Å): 10.3013 10.3013 5.8244
angles (deg): 90.00 90.00 144.41
Last column: nearest neighbours and their distance in Å.
Positions (direct):
1 K 0.0861 0.9139 0.7500  4 As 3.66, 4 Tl 3.86
2 K 0.2802 0.7198 0.2500  6 As 3.41-3.53
3 K 0.7198 0.2802 0.7500  6 As 3.41-3.53
4 K 0.9139 0.0861 0.2500  4 As 3.66, 4 Tl 3.86
5 Tl 0.5000 0.5000 0.0000  2 Tl 2.91
6 Tl 0.5000 0.5000 0.5000  2 Tl 2.91
7 As 0.1741 0.4498 0.7500  1 As 2.37
8 As 0.4498 0.1741 0.2500  1 As 2.37
9 As 0.5502 0.8259 0.7500  1 As 2.37
10 As 0.8259 0.5502 0.2500  1 As 2.37

energy of formation from the pure elements: -202 meV/atom
space group: No. 63
energy relative to the lowest polymorph listed for this composition: 0.57 eV per formula unit

A plane-wave DFT calculation with PBE was carried out for a geometry-optimized KTl2As structure.

a b c (Å): 7.1930 7.1930 7.1930
angles (deg): 101.94 101.94 125.88
Last column: nearest neighbours and their distance in Å.
Positions (direct):
1 K 0.0000 0.0000 0.0000  2 As 3.27
2 K 0.7500 0.2500 0.5000  2 As 3.27
3 Tl 0.1920 0.6250 0.0670  2 As 2.92
4 Tl 0.3750 0.4420 0.5670  2 As 2.92
5 Tl 0.5580 0.1250 0.9330  2 As 2.92
6 Tl 0.8750 0.8080 0.4330  2 As 2.92
7 As 0.2500 0.7500 0.5000  4 Tl 2.92, 2 K 3.27
8 As 0.5000 0.5000 0.0000  4 Tl 2.92, 2 K 3.27

energy of formation from the pure elements: -132 meV/atom
space group: No. 122
energy relative to the lowest polymorph listed for this composition: 0.15 eV per formula unit

A plane-wave DFT calculation with PBE was carried out for a geometry-optimized KTl2As2 structure.

a b c (Å): 9.0219 9.0219 3.4289
angles (deg): 90.00 90.00 90.00
Last column: nearest neighbours and their distance in Å.
Positions (direct):
1 K 0.0000 0.0000 0.0000  2 K 3.43, 4 Tl 3.53, 8 As 3.77
2 K 0.5000 0.5000 0.0000  2 K 3.43, 4 Tl 3.53, 8 As 3.77
3 Tl 0.1313 0.3687 0.0000  6 As 3.10-3.20, 3 Tl 3.35-3.43
4 Tl 0.3687 0.8687 0.0000  6 As 3.10-3.20, 3 Tl 3.35-3.43
5 Tl 0.6313 0.1313 0.0000  6 As 3.10-3.20, 3 Tl 3.35-3.43
6 Tl 0.8687 0.6313 0.0000  6 As 3.10-3.20, 3 Tl 3.35-3.43
7 As 0.1666 0.6666 0.5000  6 Tl 3.10-3.20, 2 As 3.43
8 As 0.3334 0.1666 0.5000  6 Tl 3.10-3.20, 2 As 3.43
9 As 0.6666 0.8334 0.5000  6 Tl 3.10-3.20, 2 As 3.43
10 As 0.8334 0.3334 0.5000  6 Tl 3.10-3.20, 2 As 3.43

energy of formation from the pure elements: 9 meV/atom
space group: No. 127
energy relative to the lowest polymorph listed for this composition: 0.93 eV per formula unit

A plane-wave DFT calculation with PBE was carried out for a geometry-optimized KTl2As structure.

a b c (Å): 8.1544 8.1544 8.1544
angles (deg): 32.44 32.44 32.44
Last column: nearest neighbours and their distance in Å.
Positions (direct):
1 K 0.0000 0.0000 0.0000  6 Tl 3.59, 1 As 3.87
2 Tl 0.2275 0.2275 0.2275  3 As 2.99
3 Tl 0.4388 0.4388 0.4388  3 As 2.98
4 As 0.8330 0.8330 0.8330  6 Tl 2.98-2.99

energy of formation from the pure elements: -146 meV/atom
space group: No. 160
energy relative to the lowest polymorph listed for this composition: 0.10 eV per formula unit

A plane-wave DFT calculation with PBE was carried out for a geometry-optimized KTlAs structure.

a b c (Å): 5.2306 5.2306 5.2306
angles (deg): 60.00 60.00 60.00
Last column: nearest neighbours and their distance in Å.
Positions (direct):
1 K 0.0000 0.0000 0.0000  4 As 3.20
2 Tl 0.5000 0.5000 0.5000  4 As 3.20
3 As 0.2500 0.2500 0.2500  4 Tl 3.20, 4 K 3.20

energy of formation from the pure elements: -152 meV/atom
space group: No. 216
energy relative to the lowest polymorph listed for this composition: 0.31 eV per formula unit

A plane-wave DFT calculation with PBE was carried out for a geometry-optimized K2TlAs structure.

a b c (Å): 3.9984 4.0332 9.8023
angles (deg): 90.00 90.00 90.00
Last column: nearest neighbours and their distance in Å.
Positions (direct):
1 K 0.0000 0.0000 0.0000  1 Tl 3.37, 4 As 3.54
2 K 0.5000 0.5000 0.4329  1 As 3.45, 4 Tl 3.59
3 Tl 0.0000 0.0000 0.6566  4 As 3.11, 1 K 3.37
4 As 0.5000 0.5000 0.7851  4 Tl 3.11, 1 K 3.45

energy of formation from the pure elements: -113 meV/atom
space group: No. 25
energy relative to the lowest polymorph listed for this composition: 0.86 eV per formula unit

| no. | ρ (g/cm³) | magnetic moment (μB per formula unit) |
| --- | --- | --- |
| 1 | 2.963 | 0.000 |
| 2 | 4.629 | 0.000 |
| 3 | 2.543 | 1.006 |
| 4 | 5.581 | 0.000 |
| 5 | 3.759 | 0.000 |
| 6 | 2.793 | 0.001 |
| 7 | 1.453 | 5.070 |
| 8 | 2.691 | 0.999 |
| 9 | 3.552 | 0.000 |
| 10 | 3.220 | 0.000 |
| 11 | 1.695 | 1.613 |
| 12 | 4.738 | 1.104 |
| 13 | 4.617 | 0.000 |
| 14 | 7.165 | 0.000 |
| 15 | 3.992 | 0.000 |
| 16 | 6.466 | 0.000 |
| 17 | 7.112 | 0.000 |
| 18 | 6.259 | 0.000 |
| 19 | 5.225 | 0.000 |
| 20 | 3.755 | 0.001 |